Entry from Alexandria: a geometry-optimized TcNiGeO6 structure (PBE with a Hubbard U).

The structure in CIF format:
```
data_TcNiGeO6
_cell_length_a 5.0204
_cell_length_b 5.0204
_cell_length_c 8.8610
_cell_angle_alpha 90.00
_cell_angle_beta 90.00
_cell_angle_gamma 120.00
_space_group_name_H-M_alt 'P -3 1 c'
_space_group_IT_number 163
_space_group_name_Hall '-P 3 2c'
loop_
_atom_site_label
_atom_site_type_symbol
_atom_site_fract_x
_atom_site_fract_y
_atom_site_fract_z
Tc1 Tc 0.3333 0.6667 0.2500
Ni1 Ni 0.0000 0.0000 0.0000
Ge1 Ge 0.3333 0.6667 0.7500
O1 O 0.0030 0.3545 0.6333
```

Computed properties:
M_tot: 5.95 μB/cell
Uncorrected energy: -6.51 eV/atom